First-principles (PBEsol) data for SiHg2Br after structural relaxation, as listed in Alexandria via LeMat-Bulk.

Energy above the lowest structure with this stoichiometry in meV per atom: 120.6
Energy relative to the elements, uncorrected in eV per atom: 0.21
Calculated total energy in eV per cell: -7.91

abc: 3.442 3.442 7.487
angles: 90.00 90.00 90.00
Space group P4/mmm (No. 123)
One atom of each set of equivalent atoms:
1 Si 0.000 0.000 0.000 (multiplicity 1)
2 Hg 0.500 0.500 0.221 (multiplicity 2)
3 Br 0.000 0.000 0.500 (multiplicity 1)


First-principles (PBEsol) data for SiHg4Br after structural relaxation, as listed in Alexandria via LeMat-Bulk.

Energy relative to the elements, uncorrected in eV per atom: 0.34
Calculated total energy in eV per cell: -31.27

abc: 8.293 8.293 8.293
angles: 90.00 90.00 90.00
Space group F-43m (No. 216)
One atom of each set of equivalent atoms:
1 Si 0.000 0.000 0.000 (multiplicity 4)
2 Hg 0.125 0.125 0.375 (multiplicity 16)
3 Br 0.250 0.250 0.750 (multiplicity 4)


First-principles (PBEsol) data for Sn3HgBr after structural relaxation, as listed in Alexandria via LeMat-Bulk.

Energy relative to the elements, uncorrected in eV per atom: 0.62
Calculated total energy in eV per cell: -12.09

abc: 5.489 5.489 5.489
angles: 90.00 90.00 90.00
Space group Pm-3m (No. 221)
One atom of each set of equivalent atoms:
1 Sn 0.000 0.000 0.500 (multiplicity 3)
2 Hg 0.500 0.500 0.500 (multiplicity 1)
3 Br 0.000 0.000 0.000 (multiplicity 1)


First-principles (PBEsol) data for SrHgBr2 after structural relaxation, as listed in Alexandria via LeMat-Bulk.

Energy above the lowest structure with this stoichiometry in meV per atom: 143.4
Energy relative to the elements, uncorrected in eV per atom: -1.31
Calculated total energy in eV per cell: -11.38

abc: 5.130 5.130 4.255
angles: 90.00 90.00 90.00
Space group P4/mmm (No. 123)
One atom of each set of equivalent atoms:
1 Sr 0.000 0.000 0.000 (multiplicity 1)
2 Hg 0.500 0.500 0.000 (multiplicity 1)
3 Br 0.000 0.500 0.500 (multiplicity 2)


First-principles (PBEsol) data for SrHgBr2 after structural relaxation, as listed in Alexandria via LeMat-Bulk.

Energy above the lowest structure with this stoichiometry in meV per atom: 0.0
Energy relative to the elements, uncorrected in eV per atom: -1.45
Calculated total energy in eV per cell: -23.91

abc: 7.786 4.490 9.191
angles: 90.00 106.10 90.00
Space group C2/m (No. 12)
One atom of each set of equivalent atoms:
1 Sr 0.000 0.000 0.000 (multiplicity 2)
2 Hg 0.000 0.500 0.500 (multiplicity 2)
3 Br 0.225 0.500 0.177 (multiplicity 4)


First-principles (PBEsol) data for SrHg2Br after structural relaxation, as listed in Alexandria via LeMat-Bulk.

Energy relative to the elements, uncorrected in eV per atom: -0.83
Calculated total energy in eV per cell: -8.18

abc: 4.343 4.403 5.787
angles: 90.00 90.00 90.00
Space group Pmmm (No. 47)
One atom of each set of equivalent atoms:
1 Sr 0.000 0.000 0.000 (multiplicity 1)
2 Hg 0.000 0.500 0.500 (multiplicity 1)
3 Hg 0.500 0.000 0.500 (multiplicity 1)
4 Br 0.500 0.500 0.000 (multiplicity 1)


> Which of these has the lowest calculated total energy?

SiHg4Br


> Which formula does entry 5 have?

SrHgBr2